VASP calculation (GGA-PBE) on LaScCo after structural relaxation.

Computed properties:
DFT formation energy: -0.0248 eV/atom
calculated volume: 25.3 Å³ per atom
polymorph energy (0 for the lowest one): 94 meV/atom

a = 3.8646 Å, b = 3.8646 Å, c = 5.8782 Å
α = 90.00°, β = 90.00°, γ = 120.00°
Fractional positions:
La1 0.0000 0.0000 0.0000
Sc1 0.3333 0.6667 0.5243
Co1 0.6667 0.3333 0.7295